Na3NpGe2Se6 | PBE-GGA | optimized geometry

Computed properties:
Energy relative to the elements, uncorrected (eV/atom): -0.8215
M_tot (μB per cell): 1.986
SG: C2/m
Volume (Å³/atom): 25.1

Lattice parameters (Å, degrees): 7.1365 7.1365 7.2412 99.44 99.44 120.03
Element x y z (fractional)
Na1 0.0000 0.0000 0.0000
Na2 0.3296 0.6704 0.0000
Na3 0.6704 0.3296 0.0000
Np1 0.5000 0.5000 0.5000
Ge1 0.1658 0.8342 0.5000
Ge2 0.8342 0.1658 0.5000
Se1 0.1005 0.4265 0.2795
Se2 0.2473 0.2473 0.7197
Se3 0.4265 0.1005 0.2795
Se4 0.5735 0.8995 0.7205
Se5 0.7527 0.7527 0.2803
Se6 0.8995 0.5735 0.7205